Entry 1:
First-principles (PBE-GGA) data for an optimized crystal structure of CsNa4Br5, as listed in Alexandria via LeMat-Bulk.

Geometry as extended XYZ:
```
10
Lattice="4.257 0.000 0.972 1.797 7.033 1.936 -0.252 -0.234 10.908" Properties=species:S:1:pos:R:3 pbc="T T T"
Cs 0.000 0.000 0.000
Na 2.777 1.310 7.451
Na 1.394 2.666 3.702
Na 4.408 4.134 10.114
Na 3.025 5.490 6.365
Br 2.352 6.233 9.310
Br 3.450 0.567 4.506
Br 2.133 2.306 10.272
Br 0.773 3.400 6.422
Br 3.669 4.494 3.545
```

Properties
volume = 330 Å³/cell
N(E_F) = 0.00 states/eV/f.u.
VASP energy = -3.017 eV per atom
space group = C2/m (12)


Entry 2:
First-principles (PBE-GGA) data for an optimized crystal structure of Cs2NaBr3, as listed in Alexandria via LeMat-Bulk.

Geometry as extended XYZ:
```
12
Lattice="-6.719 1.816 -2.344 2.970 -0.742 -9.091 0.706 -7.851 3.400" Properties=species:S:1:pos:R:3 pbc="T T T"
Cs -2.526 -1.924 -5.729
Cs -4.027 -1.549 -1.189
Cs 0.984 -5.230 -6.846
Cs -0.517 -4.854 -2.305
Na -4.160 1.170 -9.047
Na 0.412 -0.096 -2.388
Br -2.245 0.622 -3.315
Br -1.503 0.451 -8.120
Br -0.534 -1.954 -0.012
Br -4.011 -4.448 -3.483
Br 0.968 -2.330 -4.551
Br -2.508 -4.824 -8.023
```

Properties
volume = 520 Å³/cell
E above lowest polymorph = 0.000 eV per atom
N(E_F) = 0.00 states/eV/f.u.
space group = C2/c (15)


Entry 3:
First-principles (PBE-GGA) data for an optimized crystal structure of CsNaBr2, as listed in Alexandria via LeMat-Bulk.

Geometry as extended XYZ:
```
4
Lattice="-7.188 -2.440 6.443 -3.178 -3.604 8.720 -4.697 0.902 8.732" Properties=species:S:1:pos:R:3 pbc="T T T"
Cs 0.000 0.000 0.000
Na -7.532 -2.571 11.947
Br -13.358 -4.560 21.190
Br -1.705 -0.582 2.704
```

Properties
volume = 187 Å³/cell
N(E_F) = 0.00 states/eV/f.u.
VASP energy = -2.719 eV per atom
space group = R-3m (166)


Entry 4:
First-principles (PBE-GGA) data for an optimized crystal structure of CsNaBr, as listed in Alexandria via LeMat-Bulk.

Geometry as extended XYZ:
```
3
Lattice="-6.853 1.252 -3.889 -0.041 -4.505 -1.378 -2.068 1.245 4.046" Properties=species:S:1:pos:R:3 pbc="T T T"
Cs -5.743 -1.670 -2.422
Na -2.967 -0.384 1.344
Br -0.253 0.046 -0.144
```

Properties
volume = 153 Å³/cell
N(E_F) = 1.01 states/eV/f.u.
VASP energy = -2.258 eV per atom
space group = P3m1 (156)


Entry 5:
First-principles (PBE-GGA) data for an optimized crystal structure of Cs4NaBr4, as listed in Alexandria via LeMat-Bulk.

Geometry as extended XYZ:
```
18
Lattice="8.606 0.000 0.000 0.000 10.376 0.000 0.000 0.000 10.376" Properties=species:S:1:pos:R:3 pbc="T T T"
Cs 2.903 2.852 0.000
Cs 7.206 5.188 8.040
Cs 2.903 7.524 10.376
Cs 1.400 2.336 5.188
Cs 5.703 0.000 7.524
Cs 1.400 8.040 5.188
Cs 7.206 5.188 2.336
Cs 5.703 10.376 2.852
Na 0.000 0.000 0.000
Na 4.303 5.188 5.188
Br 6.220 7.450 5.188
Br 6.220 2.926 5.188
Br 1.917 0.000 8.114
Br 6.689 2.262 0.000
Br 6.689 8.114 10.376
Br 2.386 5.188 2.926
Br 2.386 5.188 7.450
Br 1.917 10.376 2.262
```

Properties
volume = 927 Å³/cell
N(E_F) = 1.91 states/eV/f.u.
VASP energy = -2.727 eV per atom
space group = P4_2/nmc (137)


Entry 6:
First-principles (PBE-GGA) data for an optimized crystal structure of Cs2NaBr3, as listed in Alexandria via LeMat-Bulk.

Geometry as extended XYZ:
```
12
Lattice="-7.594 2.765 -1.959 -3.205 -7.269 2.161 1.802 1.574 7.964" Properties=species:S:1:pos:R:3 pbc="T T T"
Cs -3.101 0.903 6.279
Cs -5.896 -3.833 1.887
Cs -2.690 -4.240 5.273
Cs -6.306 1.310 2.894
Na -1.315 -1.432 1.073
Na -7.681 -1.498 7.093
Br -5.940 -2.802 5.288
Br -3.056 -0.128 2.878
Br -7.809 -1.045 0.587
Br -6.206 2.589 -0.494
Br -1.188 -1.885 7.579
Br 0.415 1.750 6.499
```

Properties
volume = 531 Å³/cell
E above lowest polymorph = 0.009 eV per atom
N(E_F) = 0.00 states/eV/f.u.
space group = Cmcm (63)


Entry 7:
First-principles (PBE-GGA) data for an optimized crystal structure of CsNaBr2, as listed in Alexandria via LeMat-Bulk.

Geometry as extended XYZ:
```
4
Lattice="-2.947 -2.246 -1.589 2.608 -1.539 -2.661 1.814 -6.153 5.336" Properties=species:S:1:pos:R:3 pbc="T T T"
Cs 0.738 -4.969 0.543
Na -0.169 -1.893 -2.125
Br 1.415 -4.800 4.163
Br 0.399 -1.353 1.174
```

Properties
volume = 136 Å³/cell
N(E_F) = 0.00 states/eV/f.u.
VASP energy = -2.907 eV per atom
space group = P4/mmm (123)


Entry 8:
First-principles (PBE-GGA) data for an optimized crystal structure of CsNaBr2, as listed in Alexandria via LeMat-Bulk.

Geometry as extended XYZ:
```
4
Lattice="-0.737 -2.303 3.873 -3.934 -2.453 -2.208 4.913 -4.102 -4.196" Properties=species:S:1:pos:R:3 pbc="T T T"
Cs 0.480 -2.132 1.515
Na 0.563 -5.729 -0.609
Br 3.292 -5.384 0.116
Br -0.237 -3.227 -1.964
```

Properties
volume = 171 Å³/cell
N(E_F) = 0.00 states/eV/f.u.
VASP energy = -2.989 eV per atom
space group = Amm2 (38)


Entry 9:
First-principles (PBE-GGA) data for an optimized crystal structure of Cs12Na3Br5, as listed in Alexandria via LeMat-Bulk.

Geometry as extended XYZ:
```
80
Lattice="-11.646 -16.188 -3.258 16.432 -5.505 10.390 -10.371 13.738 10.582" Properties=species:S:1:pos:R:3 pbc="T T T"
Na -3.869 -12.488 2.776
Na 0.838 -16.576 6.265
Na 1.475 -1.613 13.185
Na -4.746 0.417 4.453
Na -10.729 -11.418 1.094
Na 3.310 -6.077 7.918
Na -8.895 -1.878 9.797
Na 5.144 3.463 16.621
Na -0.838 -8.372 13.262
Na -7.060 -6.342 4.530
Na -6.422 8.621 11.450
Na -1.716 4.533 14.939
Br 2.114 -0.653 6.135
Br 8.216 -2.753 5.195
Br 0.000 0.000 0.000
Br -1.555 -5.729 2.699
Br -11.008 -1.225 3.662
Br 2.393 -10.847 3.566
Br 6.979 -1.001 11.354
Br -15.755 -0.808 8.115
Br -2.353 -10.430 8.019
Br -10.091 3.545 8.014
Br 4.507 -11.500 9.701
Br -2.792 -3.977 8.857
Br -5.823 -8.094 -1.629
Br -5.185 6.869 5.291
Br -3.231 2.475 9.696
Br 10.170 -7.147 9.600
Br 3.031 4.116 10.486
Br -12.564 -6.954 6.361
Br -4.029 -2.225 15.016
Br -7.698 -7.301 11.580
Cs -6.488 -11.676 -0.799
Cs 0.648 -2.527 8.700
Cs -8.176 -13.798 3.943
Cs -4.016 -7.980 1.640
Cs -2.289 -4.009 12.560
Cs -3.445 -16.621 4.867
Cs 5.040 -3.898 11.645
Cs 12.739 -4.936 10.465
Cs 2.090 -5.673 15.370
Cs -0.422 -12.140 5.656
Cs -5.441 -10.290 6.381
Cs 5.059 -17.969 6.998
Cs 4.718 1.429 12.460
Cs 1.362 -7.267 3.865
Cs 9.958 -1.101 13.185
Cs -9.061 0.767 6.154
Cs -0.155 0.442 3.708
Cs 4.623 -10.139 6.480
Cs 2.385 -14.266 9.994
Cs 4.492 -2.918 4.930
Cs 3.305 -0.587 17.336
Cs -1.072 -7.294 8.894
Cs -2.479 -11.994 11.145
Cs -13.495 -2.107 10.448
Cs -4.513 -0.660 8.821
Cs -3.106 4.040 6.569
Cs 7.910 -5.848 7.267
Cs -7.969 6.311 7.721
Cs -8.890 -7.368 0.379
Cs -10.077 -5.036 12.785
Cs -10.208 2.185 11.235
Cs 3.477 -8.722 11.561
Cs -5.429 -8.397 14.007
Cs -15.543 -6.854 4.529
Cs -10.303 -9.384 5.255
Cs -10.644 10.014 10.717
Cs -6.947 -0.688 13.849
Cs -7.675 -2.282 2.345
Cs -5.163 4.185 12.059
Cs -0.143 2.335 11.334
Cs -18.324 -3.019 7.249
Cs -10.624 -4.057 6.069
Cs -1.569 0.025 16.075
Cs -2.139 8.666 12.848
Cs -3.295 -3.946 5.155
Cs 2.592 5.843 13.771
Cs -6.233 -5.428 9.015
Cs 0.903 3.722 18.514
```

Properties
volume = 6351 Å³/cell
N(E_F) = 13.07 states/eV/f.u.
VASP energy = -1.934 eV per atom
space group = Ia-3d (230)


Entry 10:
First-principles (PBE-GGA) data for an optimized crystal structure of Cs4NaBr2, as listed in Alexandria via LeMat-Bulk.

Geometry as extended XYZ:
```
7
Lattice="7.339 0.000 0.000 0.000 7.339 0.000 3.669 3.669 9.802" Properties=species:S:1:pos:R:3 pbc="T T T"
Cs 7.339 7.339 4.472
Cs 3.669 3.669 5.330
Cs 0.000 3.669 0.000
Cs 3.669 0.000 0.000
Na 0.000 0.000 0.000
Br 7.339 7.339 7.844
Br 3.669 3.669 1.958
```

Properties
volume = 528 Å³/cell
N(E_F) = 2.91 states/eV/f.u.
VASP energy = -1.915 eV per atom
space group = I4/mmm (139)


Entry 11:
First-principles (PBE-GGA) data for an optimized crystal structure of CsNa2NbBr8, as listed in Alexandria via LeMat-Bulk.

Geometry as extended XYZ:
```
12
Lattice="6.239 -0.249 0.503 0.006 7.919 1.637 1.133 2.371 10.549" Properties=species:S:1:pos:R:3 pbc="T T T"
Cs 0.567 1.185 5.275
Na 3.437 4.221 8.003
Na 3.941 5.819 4.687
Nb 0.000 0.000 0.000
Br 1.029 6.691 3.675
Br 4.709 5.674 1.762
Br 4.552 0.816 2.054
Br 6.348 3.349 9.015
Br 2.668 4.366 10.927
Br 2.826 9.225 10.635
Br 3.633 6.912 7.261
Br 3.745 3.129 5.428
```

Properties
volume = 492 Å³/cell
VASP energy = -3.449 eV per atom
space group = P-1 (2)


Entry 12:
First-principles (PBE-GGA) data for an optimized crystal structure of CsNaNd2Br8, as listed in Alexandria via LeMat-Bulk.

Geometry as extended XYZ:
```
12
Lattice="-5.648 -1.887 -4.719 -1.408 -6.472 3.099 -5.978 3.965 5.568" Properties=species:S:1:pos:R:3 pbc="T T T"
Cs -2.989 1.982 2.784
Na 0.000 0.000 0.000
Nd -8.058 -1.175 3.410
Nd -4.975 -3.220 0.539
Br -3.312 -4.212 2.629
Br -10.576 -1.887 4.800
Br -6.314 -2.442 -1.854
Br -9.722 -0.183 1.319
Br -2.457 -2.507 -0.852
Br -6.719 -1.953 5.803
Br -7.482 -3.787 2.071
Br -5.552 -0.607 1.878
```

Properties
volume = 502 Å³/cell
N(E_F) = 0.00 states/eV/f.u.
VASP energy = -3.867 eV per atom
space group = P2/m (10)


Entry 13:
First-principles (PBE-GGA) data for an optimized crystal structure of CsNaNdBr5, as listed in Alexandria via LeMat-Bulk.

Geometry as extended XYZ:
```
16
Lattice="-3.862 -2.569 7.082 -0.875 -5.955 -5.953 10.839 -0.820 2.697" Properties=species:S:1:pos:R:3 pbc="T T T"
Cs 0.830 -5.021 -0.892
Cs 5.273 -4.324 4.719
Na -0.223 -3.827 3.701
Na 6.325 -5.517 0.126
Nd 5.420 -0.410 1.349
Nd 0.000 0.000 0.000
Br 1.643 -5.943 -4.441
Br 4.459 -3.401 8.268
Br -2.807 -4.118 4.866
Br 8.909 -5.226 -1.040
Br 1.673 -2.756 5.539
Br 4.430 -6.588 -1.712
Br 1.194 -6.098 2.665
Br 4.909 -3.246 1.161
Br -0.841 -2.462 1.254
Br 6.944 -6.883 2.573
```

Properties
volume = 703 Å³/cell
N(E_F) = 0.00 states/eV/f.u.
VASP energy = -3.696 eV per atom
space group = C2/c (15)


Entry 14:
First-principles (PBE-GGA) data for an optimized crystal structure of Cs3Na2NdBr9, as listed in Alexandria via LeMat-Bulk.

Geometry as extended XYZ:
```
15
Lattice="-3.084 5.173 5.429 -3.294 -7.351 -0.921 6.401 -3.774 7.232" Properties=species:S:1:pos:R:3 pbc="T T T"
Cs 1.130 -5.744 6.116
Cs 0.000 0.000 0.000
Cs -1.107 -0.208 5.625
Na -2.151 -3.809 2.408
Na 2.174 -2.143 9.332
Nd 3.201 -1.887 3.616
Br 1.122 0.591 9.165
Br -0.529 -3.094 8.703
Br 2.668 -2.002 6.443
Br -2.644 -3.950 5.297
Br 0.553 -2.858 3.037
Br -1.099 -6.543 2.576
Br -1.542 2.587 2.714
Br -1.647 -3.676 -0.460
Br -3.189 -1.089 2.254
```

Properties
volume = 590 Å³/cell
N(E_F) = 16.18 states/eV/f.u.
VASP energy = -3.274 eV per atom
space group = P-3m1 (164)


Entry 15:
First-principles (PBE-GGA) data for an optimized crystal structure of Cs3Na2NdBr8, as listed in Alexandria via LeMat-Bulk.

Geometry as extended XYZ:
```
14
Lattice="-7.391 -0.557 3.344 2.831 -6.050 -4.636 4.300 -4.674 8.725" Properties=species:S:1:pos:R:3 pbc="T T T"
Cs 2.102 -7.131 3.460
Cs -2.363 -4.150 3.973
Cs 0.000 0.000 0.000
Na 0.225 -5.090 -0.350
Na -0.485 -6.191 7.783
Nd 2.150 -2.337 4.362
Br 3.456 -8.603 6.208
Br -3.717 -2.678 1.225
Br 2.613 -6.737 -0.361
Br -2.874 -4.545 7.793
Br 1.177 -3.667 1.992
Br -1.438 -7.614 5.441
Br -1.136 -7.019 1.336
Br 0.876 -4.262 6.097
```

Properties
volume = 618 Å³/cell
N(E_F) = 0.00 states/eV/f.u.
VASP energy = -3.377 eV per atom
space group = P-3m1 (164)


Entry 16:
First-principles (PBE-GGA) data for an optimized crystal structure of Cs2NaNdBr6, as listed in Alexandria via LeMat-Bulk.

Geometry as extended XYZ:
```
10
Lattice="-4.012 2.371 -6.804 2.231 -2.989 -7.355 -4.912 -5.315 -3.953" Properties=species:S:1:pos:R:3 pbc="T T T"
Cs -5.020 -4.450 -13.585
Cs -1.673 -1.483 -4.528
Na -3.347 -2.967 -9.056
Nd 0.000 0.000 0.000
Br -2.556 -1.781 -11.633
Br -4.137 -4.153 -6.480
Br -6.163 -2.956 -9.915
Br -3.683 -0.272 -7.919
Br -3.011 -5.662 -10.194
Br -0.530 -2.978 -8.198
```

Properties
volume = 397 Å³/cell
N(E_F) = 0.00 states/eV/f.u.
VASP energy = -3.606 eV per atom
space group = Fm-3m (225)


Entry 17:
First-principles (PBE-GGA) data for an optimized crystal structure of Cs2NaNiBr6, as listed in Alexandria via LeMat-Bulk.

Geometry as extended XYZ:
```
10
Lattice="7.063 0.000 0.000 0.000 7.651 0.000 0.000 -3.826 6.626" Properties=species:S:1:pos:R:3 pbc="T T T"
Cs 1.468 0.000 4.418
Cs 5.595 3.826 2.209
Na 3.532 0.000 0.000
Ni 0.000 0.000 0.000
Br 5.617 0.000 2.052
Br 5.617 -2.049 5.601
Br 5.617 2.049 5.601
Br 1.446 5.875 1.026
Br 1.446 1.777 1.026
Br 1.446 3.826 4.575
```

Properties
volume = 358 Å³/cell
N(E_F) = 4.20 states/eV/f.u.
VASP energy = -3.021 eV per atom
space group = P-3m1 (164)


Entry 18:
First-principles (PBE-GGA) data for an optimized crystal structure of CsNaBr2O6, as listed in Alexandria via LeMat-Bulk.

Geometry as extended XYZ:
```
20
Lattice="7.677 -0.001 0.242 -0.941 7.620 0.242 -1.682 -1.902 6.769" Properties=species:S:1:pos:R:3 pbc="T T T"
Cs 0.243 5.725 1.935
Cs 4.811 -0.009 5.319
Na 3.566 2.788 1.935
Na 1.489 2.929 5.319
Br 1.032 -0.898 5.792
Br 5.231 3.851 4.846
Br 4.023 6.614 1.461
Br -0.176 1.866 2.408
O 6.323 2.958 2.118
O 3.734 0.030 1.751
O -1.269 2.758 5.135
O 1.321 5.687 5.503
O 0.340 1.079 1.021
O 4.866 6.199 2.848
O 4.715 4.637 6.232
O 0.189 -0.482 4.406
O 1.162 2.800 2.899
O 3.259 5.172 0.970
O 3.893 2.917 4.354
O 1.796 0.545 6.283
```

Properties
volume = 403 Å³/cell
N(E_F) = 0.00 states/eV/f.u.
VASP energy = -4.109 eV per atom
space group = C2/c (15)


Entry 19:
First-principles (PBE-GGA) data for an optimized crystal structure of CsNa2BrO, as listed in Alexandria via LeMat-Bulk.

Geometry as extended XYZ:
```
5
Lattice="-4.362 -1.702 -1.187 0.454 -3.480 3.319 -2.518 3.589 4.108" Properties=species:S:1:pos:R:3 pbc="T T T"
Cs -1.259 1.794 2.054
Na 0.227 -1.740 1.659
Na -2.181 -0.851 -0.594
O 0.000 0.000 0.000
Br -3.213 -0.796 3.120
```

Properties
volume = 140 Å³/cell
VASP energy = -3.269 eV per atom
space group = P4/mmm (123)